This record from the Alexandria database describes Ta2RhS after structural relaxation. The functional is GGA-PBE.

Cell lengths 5.620, 5.620, 5.620 Å; angles 105.44, 105.44, 117.87 degrees
Atoms (fractional coordinates):
Ta: 0.100 0.625 0.975
Ta: 0.375 0.350 0.475
Ta: 0.650 0.125 0.025
Ta: 0.875 0.900 0.525
Rh: 0.250 0.750 0.500
Rh: 0.500 0.500 0.000
S: 0.000 0.000 0.000
S: 0.750 0.250 0.500

Calculated values
Electronic total energy   -8.91 eV per atom
ΔE_f (raw)   -113.9 meV per atom